Entry 1:
Crystalline CaRu2Pt at its relaxed geometry, computed with PBE.

a = 9.2850 Å, b = 2.8096 Å, c = 5.2524 Å
α = 90.00°, β = 98.47°, γ = 90.00°
With the nearest neighbours (Å) after each atom.
Space group Cm (No. 8)
Asymmetric unit:
Ca  0.0000  0.0000  0.0000 [2 per cell]  3 Pt 2.77-2.89, 2 Ca 2.81, 5 Ru 2.90-3.06
Ru  0.2368  0.0000  0.6721 [2 per cell]  5 Ru 2.64-2.81, 2 Pt 2.68
Ru  0.4992  0.0000  0.5174 [2 per cell]  5 Ru 2.64-2.81, 3 Pt 2.86-2.96, 2 Ca 2.90
Pt  0.2557  0.5000  0.2442 [2 per cell]  5 Ru 2.68-2.96, 3 Ca 2.77-2.89, 2 Pt 2.81

## Properties
E in eV per cell: -52.210
Distance to the lowest polymorph of the same formula in eV/atom: 0.112
Size of the total moment in μB/f.u.: 0.0


Entry 2:
Crystalline CaRu2Pt at its relaxed geometry, computed with PBE.

a = 2.8342 Å, b = 2.8342 Å, c = 8.4425 Å
α = 90.00°, β = 90.00°, γ = 90.00°
With the nearest neighbours (Å) after each atom.
Space group P4/mmm (No. 123)
Asymmetric unit:
Ca  0.0000  0.0000  0.0000 [1 per cell]  4 Ca 2.83, 8 Ru 3.11
Ru  0.5000  0.5000  0.2816 [2 per cell]  4 Pt 2.72, 4 Ru 2.83
Pt  0.0000  0.0000  0.5000 [1 per cell]  8 Ru 2.72, 4 Pt 2.83

## Properties
E in eV per cell: -25.302
Distance to the lowest polymorph of the same formula in eV/atom: 0.313
Size of the total moment in μB/f.u.: 0.0


Entry 3:
Crystalline Ca2RuPt at its relaxed geometry, computed with PBE.

a = 6.8454 Å, b = 6.8454 Å, c = 6.8454 Å
α = 90.00°, β = 90.00°, γ = 90.00°
With the nearest neighbours (Å) after each atom.
Space group F-43m (No. 216)
Asymmetric unit:
Ca  0.0000  0.0000  0.0000 [4 per cell]  4 Pt 2.96, 4 Ca 2.96
Ca  0.2500  0.2500  0.2500 [4 per cell]  4 Ru 2.96, 4 Ca 2.96
Ru  0.0000  0.0000  0.5000 [4 per cell]  4 Ca 2.96, 4 Pt 2.96
Pt  0.2500  0.2500  0.7500 [4 per cell]  4 Ru 2.96, 4 Ca 2.96

## Properties
E in eV per cell: -76.822
Size of the total moment in μB/f.u.: 1.3


Entry 4:
Crystalline CaRu2Pt at its relaxed geometry, computed with PBE.

a = 3.2550 Å, b = 3.2550 Å, c = 6.7381 Å
α = 90.00°, β = 90.00°, γ = 90.00°
With the nearest neighbours (Å) after each atom.
Space group P4/mmm (No. 123)
Asymmetric unit:
Ca  0.0000  0.0000  0.0000 [1 per cell]  8 Ru 3.06, 4 Ca 3.25, 2 Pt 3.37
Ru  0.5000  0.5000  0.3004 [2 per cell]  4 Pt 2.67, 1 Ru 2.69
Pt  0.0000  0.0000  0.5000 [1 per cell]  8 Ru 2.67

## Properties
E in eV per cell: -25.154
Distance to the lowest polymorph of the same formula in eV/atom: 0.349
Size of the total moment in μB/f.u.: 0.0


Entry 5:
Crystalline CaRuPt3 at its relaxed geometry, computed with PBE.

a = 4.8530 Å, b = 4.8530 Å, c = 4.8530 Å
α = 90.00°, β = 90.00°, γ = 90.00°
With the nearest neighbours (Å) after each atom.
Space group Pm-3m (No. 221)
Asymmetric unit:
Ca  0.0000  0.0000  0.0000 [1 per cell]  12 Pt 3.43
Ru  0.5000  0.5000  0.5000 [1 per cell]  6 Pt 2.43
Pt  0.0000  0.5000  0.5000 [3 per cell]  2 Ru 2.43

## Properties
E in eV per cell: -27.394
Distance to the lowest polymorph of the same formula in eV/atom: 0.000
Size of the total moment in μB/f.u.: 0.0


Entry 6:
Crystalline Ca3RuPt at its relaxed geometry, computed with PBE.

a = 5.1843 Å, b = 5.1843 Å, c = 5.1843 Å
α = 90.00°, β = 90.00°, γ = 90.00°
With the nearest neighbours (Å) after each atom.
Space group Pm-3m (No. 221)
Asymmetric unit:
Ca  0.0000  0.0000  0.5000 [3 per cell]  2 Ru 2.59
Ru  0.0000  0.0000  0.0000 [1 per cell]  6 Ca 2.59
Pt  0.5000  0.5000  0.5000 [1 per cell]  12 Ca 3.67

## Properties
E in eV per cell: -20.177
Distance to the lowest polymorph of the same formula in eV/atom: 0.000
Size of the total moment in μB/f.u.: 0.0


Entry 7:
Crystalline CaRu2Pt at its relaxed geometry, computed with PBE.

a = 2.8287 Å, b = 4.8495 Å, c = 4.9642 Å
α = 90.00°, β = 96.70°, γ = 90.00°
With the nearest neighbours (Å) after each atom.
Space group P2/m (No. 10)
Asymmetric unit:
Ca  0.0000  0.0000  0.0000 [1 per cell]  4 Pt 2.71-3.00, 2 Ca 2.83, 4 Ru 2.96
Ru  0.3171  0.5000  0.7318 [2 per cell]  5 Ru 2.63-2.83, 2 Pt 2.76
Pt  0.5000  0.0000  0.5000 [1 per cell]  4 Ca 2.71-3.00, 4 Ru 2.76, 2 Pt 2.83

## Properties
E in eV per cell: -25.652
Distance to the lowest polymorph of the same formula in eV/atom: 0.225
Size of the total moment in μB/f.u.: 0.7


Entry 8:
Crystalline Ca4RuPt at its relaxed geometry, computed with PBE.

a = 8.3615 Å, b = 8.3615 Å, c = 8.3615 Å
α = 90.00°, β = 90.00°, γ = 90.00°
With the nearest neighbours (Å) after each atom.
Space group F-43m (No. 216)
Asymmetric unit:
Ca  0.1252  0.1252  0.1252 [16 per cell]  6 Ca 2.95-2.96
Ru  0.0000  0.0000  0.5000 [4 per cell]  12 Ca 3.47, 4 Pt 3.62
Pt  0.2500  0.2500  0.7500 [4 per cell]  12 Ca 3.47, 4 Ru 3.62

## Properties
E in eV per cell: -74.921
Size of the total moment in μB/f.u.: 0.0


Entry 9:
Crystalline CaRu2Pt at its relaxed geometry, computed with PBE.

a = 6.4303 Å, b = 6.4303 Å, c = 6.4303 Å
α = 90.00°, β = 90.00°, γ = 90.00°
With the nearest neighbours (Å) after each atom.
Space group Fm-3m (No. 225)
Asymmetric unit:
Ca  0.0000  0.0000  0.0000 [4 per cell]  8 Ru 2.78
Ru  0.2500  0.2500  0.2500 [8 per cell]  4 Ca 2.78, 4 Pt 2.78
Pt  0.0000  0.0000  0.5000 [4 per cell]  8 Ru 2.78

## Properties
E in eV per cell: -99.867
Distance to the lowest polymorph of the same formula in eV/atom: 0.396
Size of the total moment in μB/f.u.: 0.0


Entry 10:
Crystalline CaRuPt at its relaxed geometry, computed with PBE.

a = 6.3420 Å, b = 6.3420 Å, c = 6.3420 Å
α = 90.00°, β = 90.00°, γ = 90.00°
With the nearest neighbours (Å) after each atom.
Space group F-43m (No. 216)
Asymmetric unit:
Ca  0.0000  0.0000  0.0000 [4 per cell]  4 Ru 2.75, 4 Pt 2.75
Ru  0.2500  0.2500  0.2500 [4 per cell]  4 Ca 2.75
Pt  0.2500  0.2500  0.7500 [4 per cell]  4 Ca 2.75

## Properties
E in eV per cell: -58.597
Distance to the lowest polymorph of the same formula in eV/atom: 0.931
Size of the total moment in μB/f.u.: 1.1


Entry 11:
Crystalline CaRu2Pt at its relaxed geometry, computed with PBE.

a = 3.9800 Å, b = 3.9800 Å, c = 8.3856 Å
α = 90.00°, β = 90.00°, γ = 90.00°
With the nearest neighbours (Å) after each atom.
Space group I4/mmm (No. 139)
Asymmetric unit:
Ca  0.0000  0.0000  0.0000 [2 per cell]  4 Pt 2.81, 8 Ru 2.89
Ru  0.0000  0.5000  0.2500 [4 per cell]  4 Ru 2.81, 4 Ca 2.89, 4 Pt 2.89
Pt  0.0000  0.0000  0.5000 [2 per cell]  4 Ca 2.81, 8 Ru 2.89

## Properties
E in eV per cell: -51.207
Distance to the lowest polymorph of the same formula in eV/atom: 0.237
Size of the total moment in μB/f.u.: 0.0


Entry 12:
Crystalline CaRu2Pt at its relaxed geometry, computed with PBE.

a = 4.0464 Å, b = 4.0464 Å, c = 19.6261 Å
α = 90.00°, β = 90.00°, γ = 90.00°
With the nearest neighbours (Å) after each atom.
Space group I-42d (No. 122)
Asymmetric unit:
Ca  0.0000  0.0000  0.0000 [4 per cell]  4 Pt 2.86, 4 Ru 3.02
Ru  0.1452  0.2500  0.6250 [8 per cell]  2 Ru 2.34
Pt  0.0000  0.0000  0.5000 [4 per cell]  4 Ru 2.72, 4 Ca 2.86

## Properties
E in eV per cell: -101.031
Distance to the lowest polymorph of the same formula in eV/atom: 0.324
Size of the total moment in μB/f.u.: 0.0


Entry 13:
Crystalline CaRu2Pt at its relaxed geometry, computed with PBE.

a = 2.8398 Å, b = 4.6497 Å, c = 10.4223 Å
α = 90.00°, β = 90.00°, γ = 90.00°
With the nearest neighbours (Å) after each atom.
Space group Immm (No. 71)
Asymmetric unit:
Ca  0.0000  0.0000  0.0000 [2 per cell]  4 Pt 2.72, 2 Ca 2.84
Ru  0.0000  0.5000  0.2205 [4 per cell]  2 Pt 2.70, 6 Ru 2.79-2.84
Pt  0.0000  0.0000  0.5000 [2 per cell]  4 Ru 2.70, 4 Ca 2.72, 2 Pt 2.84

## Properties
E in eV per cell: -52.084
Distance to the lowest polymorph of the same formula in eV/atom: 0.127
Size of the total moment in μB/f.u.: 0.0


Entry 14:
Crystalline CaRuPt at its relaxed geometry, computed with PBE.

a = 4.6408 Å, b = 4.6408 Å, c = 2.9436 Å
α = 90.00°, β = 90.00°, γ = 120.00°
With the nearest neighbours (Å) after each atom.
Space group P-6m2 (No. 187)
Asymmetric unit:
Ca  0.0000  0.0000  0.0000 [1 per cell]  2 Ca 2.94, 6 Ru 3.06, 6 Pt 3.06
Ru  0.3333  0.6667  0.5000 [1 per cell]  3 Pt 2.68, 2 Ru 2.94
Pt  0.6667  0.3333  0.5000 [1 per cell]  3 Ru 2.68, 2 Pt 2.94

## Properties
E in eV per cell: -17.339
Distance to the lowest polymorph of the same formula in eV/atom: 0.035
Size of the total moment in μB/f.u.: 0.7


Entry 15:
Crystalline CaRu2Pt at its relaxed geometry, computed with PBE.

a = 3.9331 Å, b = 4.2946 Å, c = 7.8962 Å
α = 90.00°, β = 90.00°, γ = 90.00°
With the nearest neighbours (Å) after each atom.
Space group Imm2 (No. 44)
Asymmetric unit:
Ca  0.0000  0.0000  0.0000 [2 per cell]  8 Ru 2.83-2.91, 4 Pt 2.85-2.86
Ru  0.0000  0.0000  0.4851 [2 per cell]  2 Ru 2.66, 4 Pt 2.81-2.89, 4 Ca 2.91
Ru  0.0000  0.5000  0.7577 [2 per cell]  2 Ru 2.66, 4 Ca 2.83-2.88, 4 Pt 2.92
Pt  0.0000  0.5000  0.2392 [2 per cell]  8 Ru 2.81-2.92, 4 Ca 2.85-2.86

## Properties
E in eV per cell: -51.690
Distance to the lowest polymorph of the same formula in eV/atom: 0.177
Size of the total moment in μB/f.u.: 0.0


Entry 16:
Crystalline CaRu2Pt at its relaxed geometry, computed with PBE.

a = 3.9139 Å, b = 3.9139 Å, c = 4.3409 Å
α = 90.00°, β = 90.00°, γ = 90.00°
With the nearest neighbours (Å) after each atom.
Space group P4/mmm (No. 123)
Asymmetric unit:
Ca  0.0000  0.0000  0.0000 [1 per cell]  4 Pt 2.77, 8 Ru 2.92
Ru  0.0000  0.5000  0.5000 [2 per cell]  4 Ru 2.77, 4 Ca 2.92, 4 Pt 2.92
Pt  0.5000  0.5000  0.0000 [1 per cell]  4 Ca 2.77, 8 Ru 2.92

## Properties
E in eV per cell: -25.860
Distance to the lowest polymorph of the same formula in eV/atom: 0.173
Size of the total moment in μB/f.u.: 0.0


Entry 17:
Crystalline CaRuPt at its relaxed geometry, computed with PBE.

a = 2.9023 Å, b = 2.9023 Å, c = 12.8526 Å
α = 90.00°, β = 90.00°, γ = 90.00°
With the nearest neighbours (Å) after each atom.
Space group I4mm (No. 107)
Asymmetric unit:
Ca  0.0000  0.0000  0.0000 [2 per cell]  4 Ca 2.90, 4 Pt 3.11, 4 Ru 3.12
Ru  0.0000  0.0000  0.3176 [2 per cell]  4 Pt 2.69, 4 Ru 2.90
Pt  0.0000  0.0000  0.6823 [2 per cell]  4 Ru 2.69, 4 Pt 2.90

## Properties
E in eV per cell: -34.480
Distance to the lowest polymorph of the same formula in eV/atom: 0.068
Size of the total moment in μB/f.u.: 0.2


Entry 18:
Crystalline CaRu3Pt at its relaxed geometry, computed with PBE.

a = 4.5871 Å, b = 4.5871 Å, c = 4.5871 Å
α = 90.00°, β = 90.00°, γ = 90.00°
With the nearest neighbours (Å) after each atom.
Space group Pm-3m (No. 221)
Asymmetric unit:
Ca  0.0000  0.0000  0.0000 [1 per cell]  6 Ru 2.29
Ru  0.0000  0.0000  0.5000 [3 per cell]  2 Ca 2.29
Pt  0.5000  0.5000  0.5000 [1 per cell]  12 Ru 3.24

## Properties
E in eV per cell: -24.232
Distance to the lowest polymorph of the same formula in eV/atom: 1.068
Size of the total moment in μB/f.u.: 5.0


Entry 19:
Crystalline Ca2RuPt2 at its relaxed geometry, computed with PBE.

a = 6.8016 Å, b = 6.8016 Å, c = 4.5181 Å
α = 90.00°, β = 90.00°, γ = 90.00°
With the nearest neighbours (Å) after each atom.
Space group P4/mbm (No. 127)
Asymmetric unit:
Ca  0.1771  0.3229  0.0000 [4 per cell]  6 Pt 2.89-3.12
Ru  0.0000  0.0000  0.5000 [2 per cell]  4 Pt 2.64
Pt  0.1363  0.6363  0.5000 [4 per cell]  1 Pt 2.62, 2 Ru 2.64, 2 Ca 2.89

## Properties
E in eV per cell: -55.032
Size of the total moment in μB/f.u.: 0.9


Entry 20:
Crystalline CaRuPt at its relaxed geometry, computed with PBE.

a = 6.4240 Å, b = 6.4240 Å, c = 6.4240 Å
α = 90.00°, β = 90.00°, γ = 90.00°
With the nearest neighbours (Å) after each atom.
Space group F-43m (No. 216)
Asymmetric unit:
Ca  0.0000  0.0000  0.0000 [4 per cell]  4 Pt 2.78
Ru  0.0000  0.0000  0.5000 [4 per cell]  4 Pt 2.78
Pt  0.2500  0.2500  0.2500 [4 per cell]  4 Ru 2.78, 4 Ca 2.78

## Properties
E in eV per cell: -66.394
Distance to the lowest polymorph of the same formula in eV/atom: 0.282
Size of the total moment in μB/f.u.: 2.3